Entry 1:
An optimized crystal structure of AcCr4Ga3O12. Source: the Alexandria database, functional GGA+U.

## Properties
The density of states at the Fermi level comes out at 0.00 states/eV per atom. The calculation puts the magnetic moment at 12.0 μB per formula unit. The calculation puts the total energy at -143.265 eV per cell. The space group is Im-3.

a = 6.5467 Å, b = 6.5467 Å, c = 6.5467 Å
α = 109.47°, β = 109.47°, γ = 109.47°
With the nearest neighbours (Å) after each atom.
Atoms (fractional coordinates):
Ac (0.0000, 0.0000, 0.0000)  12 O 2.72
Cr (0.5000, 0.0000, 0.0000)  6 O 2.03
Cr (0.5000, 0.5000, 0.5000)  6 O 2.03
Cr (0.0000, 0.5000, 0.0000)  6 O 2.03
Cr (0.0000, 0.0000, 0.5000)  6 O 2.03
Ga (0.0000, 0.5000, 0.5000)  4 O 1.94
Ga (0.5000, 0.5000, 0.0000)  4 O 1.94
Ga (0.5000, 0.0000, 0.5000)  4 O 1.94
O (0.3131, 0.8232, 0.1363)  1 Ga 1.94, 2 Cr 2.03
O (0.6869, 0.1768, 0.8637)  1 Ga 1.94, 2 Cr 2.03
O (0.6869, 0.8232, 0.5100)  1 Ga 1.94, 2 Cr 2.03
O (0.8637, 0.6869, 0.1768)  1 Ga 1.94, 2 Cr 2.03
O (0.8232, 0.1363, 0.3131)  1 Ga 1.94, 2 Cr 2.03
O (0.1768, 0.4900, 0.3131)  1 Ga 1.94, 2 Cr 2.03
O (0.4900, 0.3131, 0.1768)  1 Ga 1.94, 2 Cr 2.03
O (0.1768, 0.8637, 0.6869)  1 Ga 1.94, 2 Cr 2.03
O (0.3131, 0.1768, 0.4900)  1 Ga 1.94, 2 Cr 2.03
O (0.1363, 0.3131, 0.8232)  1 Ga 1.94, 2 Cr 2.03
O (0.8232, 0.5100, 0.6869)  1 Ga 1.94, 2 Cr 2.03
O (0.5100, 0.6869, 0.8232)  1 Ga 1.94, 2 Cr 2.03


Entry 2:
An optimized crystal structure of Ac2CrGaO6. Source: the Alexandria database, functional GGA+U.

## Properties
The density of states at the Fermi level comes out at 0.00 states/eV per atom. The calculation puts the magnetic moment at 3.0 μB per formula unit. The calculation puts the total energy at -75.436 eV per cell. The space group is P4/mmm.

a = 3.9844 Å, b = 5.6286 Å, c = 5.6286 Å
α = 90.00°, β = 90.00°, γ = 90.00°
With the nearest neighbours (Å) after each atom.
Atoms (fractional coordinates):
Ac (0.1447, 0.5000, 0.0000)  12 O 2.81-2.82
Ac (0.1447, 0.0000, 0.5000)  12 O 2.81-2.82
Cr (0.6447, 0.5000, 0.5000)  6 O 1.99-2.00
Ga (0.6446, 0.0000, 0.0000)  6 O 1.98-1.99
O (0.6447, 0.2490, 0.2490)  1 Ga 1.98, 1 Cr 2.00
O (0.6447, 0.2490, 0.7510)  1 Ga 1.98, 1 Cr 2.00
O (0.1447, 0.5000, 0.5000)  2 Cr 1.99
O (0.1446, 0.0000, 0.0000)  2 Ga 1.99
O (0.6447, 0.7510, 0.7510)  1 Ga 1.98, 1 Cr 2.00
O (0.6447, 0.7510, 0.2490)  1 Ga 1.98, 1 Cr 2.00


Entry 3:
An optimized crystal structure of Ac3CrGa2O9. Source: the Alexandria database, functional GGA+U.

## Properties
The density of states at the Fermi level comes out at 0.00 states/eV per atom. The calculation puts the magnetic moment at 3.0 μB per formula unit. The calculation puts the total energy at -110.711 eV per cell. The space group is P-3m1.

a = 5.6282 Å, b = 5.6282 Å, c = 6.8938 Å
α = 90.00°, β = 90.00°, γ = 120.00°
With the nearest neighbours (Å) after each atom.
Atoms (fractional coordinates):
Ac (0.3333, 0.6667, 0.6664)  12 O 2.81-2.82
Ac (0.0000, 0.0000, 0.0000)  12 O 2.81
Ac (0.6667, 0.3333, 0.3336)  12 O 2.81-2.82
Cr (0.0000, 0.0000, 0.5000)  6 O 2.00
Ga (0.3333, 0.6667, 0.1663)  6 O 1.98-1.99
Ga (0.6667, 0.3333, 0.8337)  6 O 1.98-1.99
O (0.8327, 0.1673, 0.6674)  1 Ga 1.98, 1 Cr 2.00
O (0.8327, 0.6654, 0.6674)  1 Ga 1.98, 1 Cr 2.00
O (0.3346, 0.1673, 0.6674)  1 Ga 1.98, 1 Cr 2.00
O (0.6654, 0.8327, 0.3326)  1 Ga 1.98, 1 Cr 2.00
O (0.1673, 0.3346, 0.3326)  1 Ga 1.98, 1 Cr 2.00
O (0.1673, 0.8327, 0.3326)  1 Ga 1.98, 1 Cr 2.00
O (0.5000, 0.0000, 0.0000)  2 Ga 1.99
O (0.0000, 0.5000, 0.0000)  2 Ga 1.99
O (0.5000, 0.5000, 0.0000)  2 Ga 1.99


Q: What is the formula in the third record?
A: Ac3CrGa2O9